# 1
First-principles (PBE) data for a relaxed structure of ZrScCu, as listed in Alexandria.

Structure (CIF):
```
data_ZrScCu
_chemical_formula_sum 'Zr4 Sc4 Cu4'
_symmetry_space_group_name_H-M 'P 1'
_symmetry_Int_Tables_number 1
_cell_length_a 11.818
_cell_length_b 3.214
_cell_length_c 6.390
_cell_angle_alpha 90.00
_cell_angle_beta 104.75
_cell_angle_gamma 90.00
loop_
_symmetry_equiv_pos_as_xyz
'x,y,z'
loop_
_atom_site_label
_atom_site_fract_x
_atom_site_fract_y
_atom_site_fract_z
Zr1 0.161 0.000 0.085
Zr2 0.339 0.500 0.915
Zr3 0.661 0.500 0.085
Zr4 0.839 0.000 0.915
Sc1 0.143 0.000 0.574
Sc2 0.357 0.500 0.426
Sc3 0.643 0.500 0.574
Sc4 0.857 0.000 0.426
Cu1 0.006 0.500 0.773
Cu2 0.494 0.000 0.227
Cu3 0.506 0.000 0.773
Cu4 0.994 0.500 0.227
```

## Properties
**Energy above the most stable polymorph in this dataset**: 17.2 meV per atom
**Energy of formation from the pure elements**: -135 meV per atom

***

# 2
First-principles (PBE) data for a relaxed structure of Ac3Sn3Pb2, as listed in Alexandria.

Structure (CIF):
```
data_Ac3Sn3Pb2
_chemical_formula_sum 'Ac6 Sn6 Pb4'
_symmetry_space_group_name_H-M 'P 1'
_symmetry_Int_Tables_number 1
_cell_length_a 4.747
_cell_length_b 4.972
_cell_length_c 22.765
_cell_angle_alpha 90.00
_cell_angle_beta 90.00
_cell_angle_gamma 90.00
loop_
_symmetry_equiv_pos_as_xyz
'x,y,z'
loop_
_atom_site_label
_atom_site_fract_x
_atom_site_fract_y
_atom_site_fract_z
Ac1 0.000 0.000 0.000
Ac2 0.000 0.500 0.366
Ac3 0.000 0.500 0.634
Ac4 0.500 0.000 0.134
Ac5 0.500 0.000 0.866
Ac6 0.500 0.500 0.500
Sn1 0.000 0.000 0.500
Sn2 0.000 0.500 0.109
Sn3 0.000 0.500 0.891
Sn4 0.500 0.000 0.391
Sn5 0.500 0.000 0.609
Sn6 0.500 0.500 0.000
Pb1 0.000 0.000 0.255
Pb2 0.000 0.000 0.745
Pb3 0.500 0.500 0.245
Pb4 0.500 0.500 0.755
```

## Properties
**Energy of formation from the pure elements**: -477 meV per atom

***

# 3
First-principles (PBE) data for a relaxed structure of As2Pb, as listed in Alexandria.

Structure (CIF):
```
data_As2Pb
_chemical_formula_sum 'As2 Pb1'
_symmetry_space_group_name_H-M 'P 1'
_symmetry_Int_Tables_number 1
_cell_length_a 3.870
_cell_length_b 3.870
_cell_length_c 5.250
_cell_angle_alpha 90.00
_cell_angle_beta 90.00
_cell_angle_gamma 90.00
loop_
_symmetry_equiv_pos_as_xyz
'x,y,z'
loop_
_atom_site_label
_atom_site_fract_x
_atom_site_fract_y
_atom_site_fract_z
As1 0.000 0.500 0.000
As2 0.500 0.000 0.000
Pb1 0.000 0.000 0.500
```

## Properties
**Energy above the most stable polymorph in this dataset**: 70.9 meV per atom
**Energy of formation from the pure elements**: 122 meV per atom

***

# 4
First-principles (PBE) data for a relaxed structure of CrMo4W, as listed in Alexandria.

Structure (CIF):
```
data_CrMo4W
_chemical_formula_sum 'Cr1 Mo4 W1'
_symmetry_space_group_name_H-M 'P 1'
_symmetry_Int_Tables_number 1
_cell_length_a 5.184
_cell_length_b 5.184
_cell_length_c 5.184
_cell_angle_alpha 60.00
_cell_angle_beta 60.00
_cell_angle_gamma 60.00
loop_
_symmetry_equiv_pos_as_xyz
'x,y,z'
loop_
_atom_site_label
_atom_site_fract_x
_atom_site_fract_y
_atom_site_fract_z
Cr1 0.000 0.000 0.000
Mo1 0.126 0.625 0.625
Mo2 0.625 0.126 0.625
Mo3 0.625 0.625 0.126
Mo4 0.625 0.625 0.625
W1 0.250 0.250 0.250
```

## Properties
**Energy above the most stable polymorph in this dataset**: 386.3 meV per atom
**Energy of formation from the pure elements**: 415 meV per atom

***

# 5
First-principles (PBE) data for a relaxed structure of Re2SbPW, as listed in Alexandria.

Structure (CIF):
```
data_Re2SbPW
_chemical_formula_sum 'Re2 Sb1 P1 W1'
_symmetry_space_group_name_H-M 'P 1'
_symmetry_Int_Tables_number 1
_cell_length_a 4.369
_cell_length_b 4.369
_cell_length_c 4.955
_cell_angle_alpha 90.00
_cell_angle_beta 90.00
_cell_angle_gamma 90.00
loop_
_symmetry_equiv_pos_as_xyz
'x,y,z'
loop_
_atom_site_label
_atom_site_fract_x
_atom_site_fract_y
_atom_site_fract_z
Re1 0.000 0.500 0.000
Re2 0.500 0.000 0.000
Sb1 0.000 0.000 0.500
P1 0.000 0.000 0.000
W1 0.500 0.500 0.500
```

## Properties
**Energy above the most stable polymorph in this dataset**: 0.0 meV per atom
**Energy relative to the elements, uncorrected**: 1.54 eV per atom

***

# 6
First-principles (PBE) data for a relaxed structure of GdSi2Rh3, as listed in Alexandria.

Structure (CIF):
```
data_GdSi2Rh3
_chemical_formula_sum 'Gd1 Si2 Rh3'
_symmetry_space_group_name_H-M 'P 1'
_symmetry_Int_Tables_number 1
_cell_length_a 5.547
_cell_length_b 5.547
_cell_length_c 3.668
_cell_angle_alpha 90.00
_cell_angle_beta 90.00
_cell_angle_gamma 120.00
loop_
_symmetry_equiv_pos_as_xyz
'x,y,z'
loop_
_atom_site_label
_atom_site_fract_x
_atom_site_fract_y
_atom_site_fract_z
Gd1 0.000 0.000 0.000
Si1 0.333 0.667 0.000
Si2 0.667 0.333 0.000
Rh1 0.000 0.500 0.500
Rh2 0.500 0.000 0.500
Rh3 0.500 0.500 0.500
```

## Properties
**Energy relative to the elements, uncorrected**: -1.03 eV per atom

***

# 7
First-principles (PBE) data for a relaxed structure of V4GaW2, as listed in Alexandria.

Structure (CIF):
```
data_V4GaW2
_chemical_formula_sum 'V8 Ga2 W4'
_symmetry_space_group_name_H-M 'P 1'
_symmetry_Int_Tables_number 1
_cell_length_a 5.287
_cell_length_b 6.202
_cell_length_c 6.818
_cell_angle_alpha 90.10
_cell_angle_beta 103.46
_cell_angle_gamma 102.43
loop_
_symmetry_equiv_pos_as_xyz
'x,y,z'
loop_
_atom_site_label
_atom_site_fract_x
_atom_site_fract_y
_atom_site_fract_z
V1 0.028 0.093 0.357
V2 0.223 0.332 0.134
V3 0.282 0.622 0.862
V4 0.339 0.258 0.757
V5 0.661 0.742 0.243
V6 0.718 0.378 0.138
V7 0.777 0.668 0.866
V8 0.972 0.907 0.643
Ga1 0.153 0.742 0.200
Ga2 0.847 0.258 0.800
W1 0.000 0.500 0.500
W2 0.500 0.000 0.000
W3 0.500 0.000 0.500
W4 0.500 0.500 0.500
```

## Properties
**Energy of formation from the pure elements**: 305 meV per atom

***

# 8
First-principles (PBE) data for a relaxed structure of Li7DyPd4, as listed in Alexandria.

Structure (CIF):
```
data_Li7DyPd4
_chemical_formula_sum 'Li7 Dy1 Pd4'
_symmetry_space_group_name_H-M 'P 1'
_symmetry_Int_Tables_number 1
_cell_length_a 5.540
_cell_length_b 5.540
_cell_length_c 9.182
_cell_angle_alpha 113.72
_cell_angle_beta 113.72
_cell_angle_gamma 52.97
loop_
_symmetry_equiv_pos_as_xyz
'x,y,z'
loop_
_atom_site_label
_atom_site_fract_x
_atom_site_fract_y
_atom_site_fract_z
Li1 0.000 0.000 0.000
Li2 0.142 0.142 0.621
Li3 0.318 0.318 0.223
Li4 0.378 0.378 0.570
Li5 0.622 0.622 0.430
Li6 0.682 0.682 0.777
Li7 0.858 0.858 0.379
Dy1 0.500 0.500 0.000
Pd1 0.105 0.105 0.308
Pd2 0.192 0.192 0.917
Pd3 0.808 0.808 0.083
Pd4 0.895 0.895 0.692
```

## Properties
**Energy of formation from the pure elements**: -235 meV per atom

***

# 9
First-principles (PBE) data for a relaxed structure of HfZr2GaH, as listed in Alexandria.

Structure (CIF):
```
data_HfZr2GaH
_chemical_formula_sum 'Hf1 Zr2 Ga1 H1'
_symmetry_space_group_name_H-M 'P 1'
_symmetry_Int_Tables_number 1
_cell_length_a 4.377
_cell_length_b 4.377
_cell_length_c 4.362
_cell_angle_alpha 90.00
_cell_angle_beta 90.00
_cell_angle_gamma 90.00
loop_
_symmetry_equiv_pos_as_xyz
'x,y,z'
loop_
_atom_site_label
_atom_site_fract_x
_atom_site_fract_y
_atom_site_fract_z
Hf1 0.000 0.000 0.000
Zr1 0.000 0.500 0.500
Zr2 0.500 0.000 0.500
Ga1 0.500 0.500 0.000
H1 0.000 0.000 0.500
```

## Properties
**Raw total energy**: -7.063 eV per atom

***

# 10
First-principles (PBE) data for a relaxed structure of ThSiO3, as listed in Alexandria.

Structure (CIF):
```
data_ThSiO3
_chemical_formula_sum 'Th1 Si1 O3'
_symmetry_space_group_name_H-M 'P 1'
_symmetry_Int_Tables_number 1
_cell_length_a 3.888
_cell_length_b 3.888
_cell_length_c 3.888
_cell_angle_alpha 90.00
_cell_angle_beta 90.00
_cell_angle_gamma 90.00
loop_
_symmetry_equiv_pos_as_xyz
'x,y,z'
loop_
_atom_site_label
_atom_site_fract_x
_atom_site_fract_y
_atom_site_fract_z
Th1 0.000 0.000 0.000
Si1 0.500 0.500 0.500
O1 0.000 0.500 0.500
O2 0.500 0.000 0.500
O3 0.500 0.500 0.000
```

## Properties
**Energy relative to the elements, uncorrected**: -2.08 eV per atom

***

# 11
First-principles (PBE) data for a relaxed structure of Zr2ZnCo2, as listed in Alexandria.

Structure (CIF):
```
data_Zr2ZnCo2
_chemical_formula_sum 'Zr4 Zn2 Co4'
_symmetry_space_group_name_H-M 'P 1'
_symmetry_Int_Tables_number 1
_cell_length_a 7.500
_cell_length_b 7.500
_cell_length_c 3.025
_cell_angle_alpha 90.00
_cell_angle_beta 90.00
_cell_angle_gamma 90.00
loop_
_symmetry_equiv_pos_as_xyz
'x,y,z'
loop_
_atom_site_label
_atom_site_fract_x
_atom_site_fract_y
_atom_site_fract_z
Zr1 0.156 0.344 0.000
Zr2 0.344 0.844 0.000
Zr3 0.656 0.156 0.000
Zr4 0.844 0.656 0.000
Zn1 0.000 0.000 0.000
Zn2 0.500 0.500 0.000
Co1 0.135 0.635 0.500
Co2 0.365 0.135 0.500
Co3 0.635 0.865 0.500
Co4 0.865 0.365 0.500
```

## Properties
**Energy of formation from the pure elements**: 18 meV per atom

***

# 12
First-principles (PBE) data for a relaxed structure of Hf3NbGa3, as listed in Alexandria.

Structure (CIF):
```
data_Hf3NbGa3
_chemical_formula_sum 'Hf6 Nb2 Ga6'
_symmetry_space_group_name_H-M 'P 1'
_symmetry_Int_Tables_number 1
_cell_length_a 5.665
_cell_length_b 5.665
_cell_length_c 8.719
_cell_angle_alpha 90.44
_cell_angle_beta 90.44
_cell_angle_gamma 104.91
loop_
_symmetry_equiv_pos_as_xyz
'x,y,z'
loop_
_atom_site_label
_atom_site_fract_x
_atom_site_fract_y
_atom_site_fract_z
Hf1 0.188 0.812 0.000
Hf2 0.252 0.748 0.500
Hf3 0.446 0.446 0.185
Hf4 0.554 0.554 0.815
Hf5 0.748 0.252 0.500
Hf6 0.812 0.188 0.000
Nb1 0.260 0.260 0.517
Nb2 0.740 0.740 0.483
Ga1 0.030 0.030 0.263
Ga2 0.033 0.480 0.754
Ga3 0.480 0.033 0.754
Ga4 0.520 0.967 0.246
Ga5 0.967 0.520 0.246
Ga6 0.970 0.970 0.737
```

## Properties
**Energy of formation from the pure elements**: -259 meV per atom